(1)
Compound: CsZnMo2
Source: Alexandria via LeMat-Bulk
Functional: GGA-PBE
Structure: optimized geometry

Unit cell a=4.3170 b=4.3170 c=10.5016 alpha=78.14 beta=78.14 gamma=90.00
Atoms (fractional coordinates):
Zn 0.2500 0.7500 0.5000
Mo 0.2238 0.6250 0.2500
Mo 0.8750 0.7762 0.7500
Mo 0.5262 0.1250 0.2500
Cs 0.7500 0.2500 0.5000
Zn 0.5000 0.5000 0.0000
Mo 0.3750 0.4738 0.7500
Cs 0.0000 0.0000 0.0000

spin magnetization: 0.00 Bohr magnetons per cell
total DFT energy (no corrections): -4.39 eV/atom
ΔH_f (0 K): 1.561 eV/atom
D(E_F): 10.09 states/eV/cell

(2)
Compound: Be2FeSb
Source: Alexandria via LeMat-Bulk
Functional: GGA-PBE
Structure: optimized geometry

Unit cell a=5.0899 b=5.0899 c=3.0338 alpha=69.49 beta=69.49 gamma=113.67
Each line ends with the local moment (μB).
Atoms (fractional coordinates):
Be 0.0000 0.0000 0.0000  -0.03
Sb 0.0000 0.5000 0.5000  -0.03
Be 0.5000 0.5000 0.0000  -0.03
Fe 0.5000 0.0000 0.5000  1.49

uncorrected formation energy: 0.50 eV/atom
spin magnetization: 1.32 Bohr magnetons per cell
total DFT energy (no corrections): -4.51 eV/atom
D(E_F): 2.49 states/eV/cell

(3)
Compound: CdInOs2Br
Source: Alexandria via LeMat-Bulk
Functional: GGA-PBE
Structure: optimized geometry

Unit cell a=5.0856 b=5.4701 c=5.0856 alpha=90.00 beta=90.00 gamma=90.00
Each line ends with the local moment (μB).
Atoms (fractional coordinates):
In 0.0000 0.0000 0.0000  -0.04
Os 0.5000 0.0000 0.0000  1.97
Os 0.0000 0.0000 0.5000  2.08
Br 0.5000 0.5000 0.5000  0.24
Cd 0.0000 0.5000 0.0000  0.03

uncorrected formation energy: 2.12 eV/atom
spin magnetization: 4.93 Bohr magnetons per cell
total DFT energy (no corrections): -3.44 eV/atom
D(E_F): 5.22 states/eV/cell

(4)
Compound: LaY2Sc
Source: Alexandria via LeMat-Bulk
Functional: GGA-PBE
Structure: optimized geometry

Unit cell a=5.4870 b=3.5114 c=6.8183 alpha=75.16 beta=90.00 gamma=90.00
Atoms (fractional coordinates):
La 0.0000 0.5469 0.5292
Y 0.0000 0.8132 0.0012
Sc 0.5000 0.9343 0.7541
Y 0.5000 0.2055 0.2155

spin magnetization: 0.00 Bohr magnetons per cell
total DFT energy (no corrections): -5.98 eV/atom
ΔH_f (0 K): 0.062 eV/atom
energy above the lowest structure with this stoichiometry: 28 meV/atom
D(E_F): 7.59 states/eV/cell

(5)
Compound: Ca2LaCd2
Source: Alexandria via LeMat-Bulk
Functional: GGA-PBE
Structure: optimized geometry

Unit cell a=4.8679 b=4.8679 c=7.8282 alpha=71.89 beta=71.89 gamma=90.00
Each line ends with the local moment (μB).
Atoms (fractional coordinates):
Ca 0.7500 0.2500 0.5000  0.03
La 0.0000 0.0000 0.0000  0.15
Ca 0.2500 0.7500 0.5000  0.03
Cd 0.4012 0.4012 0.1975  0.02
Cd 0.5988 0.5988 0.8025  0.02

spin magnetization: 0.84 Bohr magnetons per cell
total DFT energy (no corrections): -2.26 eV/atom
ΔH_f (0 K): -0.107 eV/atom
energy above the lowest structure with this stoichiometry: 144 meV/atom
D(E_F): 8.29 states/eV/cell

(6)
Compound: SrHg6
Source: Alexandria via LeMat-Bulk
Functional: GGA-PBE
Structure: optimized geometry

Unit cell a=7.0044 b=7.0044 c=7.0044 alpha=109.47 beta=109.47 gamma=109.47
Atoms (fractional coordinates):
Hg 0.2500 0.7500 0.5000
Hg 0.5000 0.2500 0.7500
Hg 0.7500 0.2500 0.5000
Sr 0.0000 0.0000 0.0000
Hg 0.2500 0.5000 0.7500
Hg 0.5000 0.7500 0.2500
Hg 0.7500 0.5000 0.2500

spin magnetization: 0.00 Bohr magnetons per cell
total DFT energy (no corrections): -0.42 eV/atom
ΔH_f (0 K): 0.074 eV/atom
energy above the lowest structure with this stoichiometry: 311 meV/atom
D(E_F): 4.78 states/eV/cell

(7)
Compound: CsCa2Ag2F7
Source: Alexandria via LeMat-Bulk
Functional: GGA-PBE
Structure: optimized geometry

Unit cell a=4.5260 b=4.7142 c=10.9245 alpha=102.33 beta=102.00 gamma=90.00
Atoms (fractional coordinates):
Cs 0.0000 0.0000 0.0000
Ag 0.7317 0.2301 0.4650
F 0.3872 0.8885 0.7750
F 0.8933 0.3939 0.7870
F 0.1067 0.6061 0.2130
Ca 0.6081 0.6070 0.2158
F 0.2804 0.2832 0.5619
F 0.5000 0.5000 0.0000
Ca 0.3919 0.3929 0.7842
Ag 0.2683 0.7697 0.5350
F 0.6128 0.1116 0.2250
F 0.7196 0.7168 0.4381

uncorrected formation energy: -2.71 eV/atom
spin magnetization: 0.00 Bohr magnetons per cell
total DFT energy (no corrections): -4.69 eV/atom

(8)
Compound: Pu2UPd
Source: Alexandria via LeMat-Bulk
Functional: GGA-PBE
Structure: optimized geometry

Unit cell a=3.0460 b=5.1864 c=5.1864 alpha=90.00 beta=90.00 gamma=90.00
Each line ends with the local moment (μB).
Atoms (fractional coordinates):
Pd 0.5000 0.5000 0.5000  0.03
U 0.5000 0.0000 0.0000  -0.59
Pu 0.0000 0.5000 0.0000  4.68
Pu 0.0000 0.0000 0.5000  4.68

spin magnetization: 8.93 Bohr magnetons per cell
total DFT energy (no corrections): -11.34 eV/atom
ΔH_f (0 K): -0.058 eV/atom
energy above the lowest structure with this stoichiometry: 1 meV/atom
D(E_F): 12.06 states/eV/cell

(9)
Compound: Ho2Er2Al3
Source: Alexandria via LeMat-Bulk
Functional: GGA-PBE
Structure: optimized geometry

Unit cell a=3.5706 b=8.1039 c=6.2317 alpha=97.91 beta=73.38 gamma=90.00
Atoms (fractional coordinates):
Ho 0.4366 0.7056 0.1258
Al 0.0000 0.0000 0.0000
Er 0.6974 0.8432 0.6057
Al 0.8364 0.4565 0.3263
Ho 0.5634 0.2944 0.8742
Er 0.3026 0.1568 0.3943
Al 0.1636 0.5435 0.6737

spin magnetization: 0.00 Bohr magnetons per cell
total DFT energy (no corrections): -4.50 eV/atom
ΔH_f (0 K): -0.287 eV/atom
energy above the lowest structure with this stoichiometry: 0 meV/atom
D(E_F): 6.08 states/eV/cell

(10)
Compound: NdHoTh2
Source: Alexandria via LeMat-Bulk
Functional: GGA-PBE
Structure: optimized geometry

Unit cell a=3.5804 b=3.5804 c=11.9177 alpha=81.36 beta=81.36 gamma=60.00
Atoms (fractional coordinates):
Th 0.2516 0.2516 0.2451
Ho 0.6681 0.6681 0.9956
Nd 0.4983 0.4983 0.5051
Th 0.0820 0.0820 0.7541

spin magnetization: 0.00 Bohr magnetons per cell
total DFT energy (no corrections): -6.00 eV/atom
ΔH_f (0 K): 0.050 eV/atom
energy above the lowest structure with this stoichiometry: 20 meV/atom
D(E_F): 5.68 states/eV/cell

(11)
Compound: BaGaBi2
Source: Alexandria via LeMat-Bulk
Functional: GGA-PBE
Structure: optimized geometry

Unit cell a=8.6103 b=8.6103 c=7.1975 alpha=53.26 beta=53.26 gamma=90.00
Atoms (fractional coordinates):
Ga 0.2500 0.7500 0.5000
Bi 0.5507 0.1250 0.2500
Ga 0.5000 0.5000 0.0000
Ba 0.0000 0.0000 0.0000
Bi 0.3750 0.4493 0.7500
Bi 0.8750 0.8007 0.7500
Bi 0.1993 0.6250 0.2500
Ba 0.7500 0.2500 0.5000

spin magnetization: 0.00 Bohr magnetons per cell
total DFT energy (no corrections): -3.55 eV/atom
ΔH_f (0 K): -0.376 eV/atom
D(E_F): 5.68 states/eV/cell

(12)
Compound: Be5Zn3
Source: Alexandria via LeMat-Bulk
Functional: GGA-PBE
Structure: optimized geometry

Unit cell a=4.9745 b=4.9745 c=3.4243 alpha=90.00 beta=90.00 gamma=91.16
Atoms (fractional coordinates):
Zn 0.2359 0.7641 0.5000
Be 0.5000 0.0000 0.0000
Zn 0.5000 0.5000 0.0000
Be 0.0000 0.5000 0.0000
Be 0.2453 0.2453 0.5000
Be 0.0000 0.0000 0.0000
Be 0.7547 0.7547 0.5000
Zn 0.7641 0.2359 0.5000

spin magnetization: 0.00 Bohr magnetons per cell
total DFT energy (no corrections): -2.59 eV/atom
ΔH_f (0 K): 0.215 eV/atom
energy above the lowest structure with this stoichiometry: 2 meV/atom
D(E_F): 2.18 states/eV/cell